*A*
Material: Na2TiSi4H4O13
Method: DFT, meta-GGA SCAN
State: PBEsol geometry

Unit cell a=8.9444 b=8.7782 c=7.4100 alpha=90.00 beta=112.61 gamma=90.00
Last column: nearest neighbours and their distance in Å.
Positions (direct):
Na1 0.1958 0.1892 0.2140  6 O 2.28-2.52, 1 H 2.41
Na2 0.1958 0.3108 0.7140  6 O 2.28-2.52, 1 H 2.41
Na3 0.8042 0.6892 0.2860  6 O 2.28-2.52, 1 H 2.41
Na4 0.8042 0.8108 0.7860  6 O 2.28-2.52, 1 H 2.41
Ti1 0.0000 0.0000 0.5000  6 O 1.92-1.98
Ti2 0.0000 0.5000 0.0000  6 O 1.92-1.98
Si1 0.1596 0.6609 0.6969  4 O 1.61-1.66
Si2 0.1596 0.8391 0.1969  4 O 1.61-1.66
Si3 0.3140 0.5585 0.4047  4 O 1.61-1.65
Si4 0.3140 0.9415 0.9047  4 O 1.61-1.65
Si5 0.6860 0.0585 0.0953  4 O 1.61-1.65
Si6 0.6860 0.4415 0.5953  4 O 1.61-1.65
Si7 0.8404 0.1609 0.8031  4 O 1.61-1.66
Si8 0.8404 0.3391 0.3031  4 O 1.61-1.66
H1 0.3305 0.1162 0.6020  1 O 1.00
H2 0.3305 0.3838 0.1020  1 O 1.00
H3 0.4817 0.2088 0.5890  1 O 0.99
H4 0.4817 0.2912 0.0890  1 O 0.99
H5 0.5183 0.7088 0.9110  1 O 0.99
H6 0.5183 0.7912 0.4110  1 O 0.99
H7 0.6695 0.6162 0.8980  1 O 1.00
H8 0.6695 0.8838 0.3980  1 O 1.00
O1 0.0213 0.7192 0.0690  1 Si 1.62
O2 0.0213 0.7808 0.5690  1 Si 1.62
O3 0.1011 0.5377 0.8176  1 Si 1.61
O4 0.1011 0.9623 0.3176  1 Si 1.61
O5 0.2127 0.0384 0.7111  1 Si 1.61, 1 H 1.70
O6 0.2127 0.4616 0.2111  1 Si 1.61, 1 H 1.70
O7 0.2316 0.5518 0.5669  2 Si 1.63-1.65
O8 0.2316 0.9482 0.0669  2 Si 1.63-1.65
O9 0.3173 0.7396 0.3452  2 Si 1.65-1.66, 1 H 1.73
O10 0.3173 0.7604 0.8452  2 Si 1.65-1.66, 1 H 1.73
O11 0.3621 0.2026 0.5370  2 H 0.99-1.00
O12 0.3621 0.2974 0.0370  2 H 0.99-1.00
O13 0.5000 0.0000 0.0000  2 Si 1.62
O14 0.5000 0.5000 0.5000  2 Si 1.62
O15 0.6379 0.7026 0.9630  2 H 0.99-1.00
O16 0.6379 0.7974 0.4630  2 H 0.99-1.00
O17 0.6827 0.2396 0.1548  2 Si 1.65-1.66, 1 H 1.73
O18 0.6827 0.2604 0.6548  2 Si 1.65-1.66, 1 H 1.73
O19 0.7684 0.0518 0.9331  2 Si 1.63-1.65
O20 0.7684 0.4482 0.4331  2 Si 1.63-1.65
O21 0.7873 0.5384 0.7889  1 Si 1.61, 1 H 1.70
O22 0.7873 0.9616 0.2889  1 Si 1.61, 1 H 1.70
O23 0.8989 0.0377 0.6824  1 Si 1.61
O24 0.8989 0.4623 0.1824  1 Si 1.61
O25 0.9787 0.2192 0.4310  1 Si 1.62
O26 0.9787 0.2808 0.9310  1 Si 1.62

Properties
**Symmetry**: No. 14

***

*B*
Material: Na2TiSi4H4O13
Method: DFT, meta-GGA SCAN
State: PBEsol geometry

Unit cell a=7.3502 b=7.3502 c=10.7266 alpha=90.00 beta=90.00 gamma=90.00
Last column: nearest neighbours and their distance in Å.
Positions (direct):
Na1 0.0000 0.0000 0.1643  6 O 2.36-2.51
Na2 0.0000 0.0000 0.8357  6 O 2.36-2.51
Na3 0.5000 0.5000 0.1643  6 O 2.36-2.51
Na4 0.5000 0.5000 0.8357  6 O 2.36-2.51
Ti1 0.0000 0.5000 0.2170  5 O 1.74-1.94
Ti2 0.5000 0.0000 0.7830  5 O 1.74-1.94
Si1 0.1796 0.7434 0.6460  4 O 1.60-1.64
Si2 0.2434 0.3204 0.6460  4 O 1.60-1.64
Si3 0.2566 0.8204 0.3540  4 O 1.60-1.64
Si4 0.3204 0.2434 0.3540  4 O 1.60-1.64
Si5 0.6796 0.7566 0.3540  4 O 1.60-1.64
Si6 0.7434 0.1796 0.3540  4 O 1.60-1.64
Si7 0.7566 0.6796 0.6460  4 O 1.60-1.64
Si8 0.8204 0.2566 0.6460  4 O 1.60-1.64
H1 0.1284 0.2836 0.0130  1 O 0.99
H2 0.2164 0.6284 0.0130  1 O 0.99
H3 0.2836 0.1284 0.9870  1 O 0.99
H4 0.3716 0.7836 0.9870  1 O 0.99
H5 0.6284 0.2164 0.9870  1 O 0.99
H6 0.7164 0.8716 0.9870  1 O 0.99
H7 0.7836 0.3716 0.0130  1 O 0.99
H8 0.8716 0.7164 0.0130  1 O 0.99
O1 0.0000 0.5000 0.0548  1 Ti 1.74, 4 H 1.90
O2 0.0386 0.2466 0.6758  2 Si 1.63-1.64
O3 0.1110 0.7305 0.2614  1 Si 1.60
O4 0.1515 0.1515 0.0000  2 H 0.99
O5 0.2128 0.7872 0.5000  2 Si 1.62
O6 0.2305 0.3890 0.2614  1 Si 1.60
O7 0.2466 0.0386 0.3242  2 Si 1.63-1.64
O8 0.2534 0.5386 0.6758  2 Si 1.63-1.64
O9 0.2695 0.8890 0.7386  1 Si 1.60
O10 0.2872 0.2872 0.5000  2 Si 1.62
O11 0.3485 0.6515 0.0000  2 H 0.99
O12 0.3890 0.2305 0.7386  1 Si 1.60
O13 0.4614 0.7466 0.3242  2 Si 1.63-1.64
O14 0.5000 0.0000 0.9452  1 Ti 1.74, 4 H 1.90
O15 0.5386 0.2534 0.3242  2 Si 1.63-1.64
O16 0.6110 0.7695 0.7386  1 Si 1.60
O17 0.6515 0.3485 0.0000  2 H 0.99
O18 0.7128 0.7128 0.5000  2 Si 1.62
O19 0.7305 0.1110 0.7386  1 Si 1.60
O20 0.7466 0.4614 0.6758  2 Si 1.63-1.64
O21 0.7534 0.9614 0.3242  2 Si 1.63-1.64
O22 0.7695 0.6110 0.2614  1 Si 1.60
O23 0.7872 0.2128 0.5000  2 Si 1.62
O24 0.8485 0.8485 0.0000  2 H 0.99
O25 0.8890 0.2695 0.2614  1 Si 1.60
O26 0.9614 0.7534 0.6758  2 Si 1.63-1.64

Properties
**Symmetry**: No. 90

***

What should be chosen as the most stable of them? Choose *A*.

***

*A*
Material: Na2H2Pd
Method: DFT, meta-GGA SCAN
State: PBEsol geometry

Unit cell a=6.1239 b=6.1239 c=6.1239 alpha=146.85 beta=146.85 gamma=47.58
Last column: nearest neighbours and their distance in Å.
Positions (direct):
Na1 0.1408 0.1408 0.0000  5 H 2.35-2.47
Na2 0.8592 0.8592 0.0000  5 H 2.35-2.47
H1 0.3501 0.3501 0.0000  1 Pd 1.68
H2 0.6499 0.6499 0.0000  1 Pd 1.68
Pd1 0.5000 0.5000 0.0000  2 H 1.68

Properties
**Symmetry**: No. 139

***

*B*
Material: Na2H2Pd
Method: DFT, meta-GGA SCAN
State: PBEsol geometry

Unit cell a=5.0487 b=5.0487 c=5.0487 alpha=133.36 beta=133.36 gamma=68.09
Last column: nearest neighbours and their distance in Å.
Positions (direct):
Na1 0.1584 0.1584 0.0000  4 H 2.14
Na2 0.8416 0.8416 0.0000  4 H 2.14
H1 0.2500 0.7500 0.5000  4 Na 2.14
H2 0.7500 0.2500 0.5000  4 Na 2.14
Pd1 0.5000 0.5000 0.0000  10 Na 2.86-3.12, 8 H 2.89

Properties
**Symmetry**: No. 139

***

What should be chosen as the most stable of them? Choose *A*.

***

*A*
Material: NaHPd3
Method: DFT, meta-GGA SCAN
State: PBEsol geometry

Unit cell a=4.6042 b=4.6042 c=4.6042 alpha=90.00 beta=90.00 gamma=90.00
Last column: nearest neighbours and their distance in Å.
Positions (direct):
Na1 0.0000 0.0000 0.0000  6 Pd 2.30
H1 0.5000 0.5000 0.5000  12 Pd 3.26
Pd1 0.0000 0.0000 0.5000  2 Na 2.30
Pd2 0.0000 0.5000 0.0000  2 Na 2.30
Pd3 0.5000 0.0000 0.0000  2 Na 2.30

Properties
**Symmetry**: No. 221

***

*B*
Material: NaHPd3
Method: DFT, meta-GGA SCAN
State: PBEsol geometry

Unit cell a=3.9979 b=3.9979 c=3.9979 alpha=90.00 beta=90.00 gamma=90.00
Last column: nearest neighbours and their distance in Å.
Positions (direct):
Na1 0.0000 0.0000 0.0000  12 Pd 2.83
H1 0.5000 0.5000 0.5000  6 Pd 2.00
Pd1 0.0000 0.5000 0.5000  2 H 2.00
Pd2 0.5000 0.0000 0.5000  2 H 2.00
Pd3 0.5000 0.5000 0.0000  2 H 2.00

Properties
**Symmetry**: No. 221

***

*C*
Material: NaHPd3
Method: DFT, meta-GGA SCAN
State: PBEsol geometry

Unit cell a=2.7489 b=4.9887 c=4.9887 alpha=68.11 beta=90.00 gamma=90.00
Last column: nearest neighbours and their distance in Å.
Positions (direct):
Na1 0.0000 0.0000 0.0000  1 H 2.41
H1 0.0000 0.2919 0.2919  5 Pd 1.83-1.99
Pd1 0.0000 0.5134 0.5134  1 H 1.83
Pd2 0.5000 0.0032 0.5033  2 H 1.99
Pd3 0.5000 0.5033 0.0032  2 H 1.99

Properties
**Symmetry**: No. 38

***

What should be chosen as the most stable of them? Choose *C*.